Record 1
Compound: CaAcH6Ir2
Source: Alexandria
Functional: PBE-GGA
Structure: relaxed

extended XYZ file:
```
20
Lattice="6.348 -0.334 0.098 -1.109 6.259 0.098 -1.428 -1.615 5.948" Properties=species:S:1:pos:R:3 pbc="T T T"
Ca 2.895 2.000 1.585
Ca 0.916 2.310 4.559
Ac -0.324 4.846 1.585
Ac 4.135 -0.536 4.559
H 5.136 2.217 0.903
H 2.954 -0.251 2.266
H -1.324 2.093 5.240
H 0.857 4.561 3.877
H 1.161 0.936 0.208
H 3.738 3.851 2.962
H 2.651 3.374 5.936
H 0.073 0.459 3.182
H 0.727 2.581 2.274
H 2.052 4.081 0.895
H 3.085 1.729 3.869
H 1.759 0.230 5.248
Ir 0.845 -1.177 4.936
Ir 4.369 2.808 4.181
Ir 2.966 5.488 1.207
Ir -0.558 1.502 1.962
```



Record 2
Compound: CaAcNi2H6
Source: Alexandria
Functional: PBE-GGA
Structure: relaxed

extended XYZ file:
```
10
Lattice="-1.059 -4.639 0.689 3.284 -3.382 -0.946 2.666 -2.312 5.304" Properties=species:S:1:pos:R:3 pbc="T T T"
Ca 2.446 -5.167 2.523
Ac 0.000 0.000 0.000
Ni 3.481 -7.785 3.259
Ni 1.411 -2.548 1.788
H 3.965 -4.030 3.734
H 1.692 -4.688 4.590
H 1.481 -3.875 0.952
H 0.926 -6.304 1.313
H 3.200 -5.646 0.457
H 3.411 -6.458 4.095
```



no.,total energy (eV/atom)
1,-4.86
2,-4.07